(1)
# Ac2PdAuO6 | the Alexandria database | PBE | optimized geometry
data_Ac2PdAuO6
_cell_length_a 4.265
_cell_length_b 5.871
_cell_length_c 5.871
_cell_angle_alpha 90.00
_cell_angle_beta 90.00
_cell_angle_gamma 90.00
_symmetry_space_group_name_H-M 'P 1'
_symmetry_Int_Tables_number 1
loop_
_symmetry_equiv_pos_as_xyz
'x,y,z'
loop_
_atom_site_label
_atom_site_type_symbol
_atom_site_fract_x
_atom_site_fract_y
_atom_site_fract_z
_atom_site_occupancy
O1 O 0.145 0.500 0.500 1
O2 O 0.132 0.000 0.000 1
Ac1 Ac 0.072 0.500 0.000 1
Au1 Au 0.628 0.000 0.000 1
O3 O 0.688 0.745 0.255 1
O4 O 0.688 0.255 0.255 1
Pd1 Pd 0.644 0.500 0.500 1
O5 O 0.688 0.255 0.745 1
O6 O 0.688 0.745 0.745 1
Ac2 Ac 0.072 0.000 0.500 1
# **D(E_F)**: 0.24 states/eV/atom
# **Uncorrected formation energy**: -38.24 kcal/mol of atoms
# **Space group**: P4mm, No. 99
# **Crystal system**: tetragonal

(2)
# HfBiAs2Br | the Alexandria database | PBE | optimized geometry
data_HfBiAs2Br
_cell_length_a 5.406
_cell_length_b 5.406
_cell_length_c 5.361
_cell_angle_alpha 90.00
_cell_angle_beta 90.00
_cell_angle_gamma 90.00
_symmetry_space_group_name_H-M 'P 1'
_symmetry_Int_Tables_number 1
loop_
_symmetry_equiv_pos_as_xyz
'x,y,z'
loop_
_atom_site_label
_atom_site_type_symbol
_atom_site_fract_x
_atom_site_fract_y
_atom_site_fract_z
_atom_site_occupancy
Hf1 Hf 0.500 0.500 0.500 1
Br1 Br 0.000 0.000 0.500 1
As1 As 0.000 0.500 0.000 1
Bi1 Bi 0.000 0.000 0.000 1
As2 As 0.500 0.000 0.000 1
# **D(E_F)**: 0.80 states/eV/atom
# **Uncorrected formation energy**: 23.57 kcal/mol of atoms
# **Space group**: P4/mmm, No. 123
# **Energy relative to the lowest polymorph listed for this composition**: 1053.4 meV per atom
# **Crystal system**: tetragonal

(3)
# MnH2Pd5 | the Alexandria database | PBE | optimized geometry
data_MnH2Pd5
_cell_length_a 3.903
_cell_length_b 3.903
_cell_length_c 7.256
_cell_angle_alpha 105.60
_cell_angle_beta 105.60
_cell_angle_gamma 90.00
_symmetry_space_group_name_H-M 'P 1'
_symmetry_Int_Tables_number 1
loop_
_symmetry_equiv_pos_as_xyz
'x,y,z'
loop_
_atom_site_label
_atom_site_type_symbol
_atom_site_fract_x
_atom_site_fract_y
_atom_site_fract_z
_atom_site_occupancy
Pd1 Pd 0.149 0.649 0.298 1
Pd2 Pd 0.649 0.149 0.298 1
Pd3 Pd 0.000 0.000 0.000 1
Mn1 Mn 0.500 0.500 0.000 1
Pd4 Pd 0.351 0.851 0.702 1
H1 H 0.842 0.842 0.684 1
H2 H 0.158 0.158 0.316 1
Pd5 Pd 0.851 0.351 0.702 1
# **D(E_F)**: 0.68 states/eV/atom
# **Space group**: I4/mmm, No. 139
# **Crystal system**: tetragonal
# **Electronic total energy**: -0.38916 Ry per atom

(4)
# Ho3TlBi2 | the Alexandria database | PBE | optimized geometry
data_Ho3TlBi2
_cell_length_a 7.369
_cell_length_b 7.759
_cell_length_c 7.759
_cell_angle_alpha 117.53
_cell_angle_beta 99.78
_cell_angle_gamma 99.78
_symmetry_space_group_name_H-M 'P 1'
_symmetry_Int_Tables_number 1
loop_
_symmetry_equiv_pos_as_xyz
'x,y,z'
loop_
_atom_site_label
_atom_site_type_symbol
_atom_site_fract_x
_atom_site_fract_y
_atom_site_fract_z
_atom_site_occupancy
Bi1 Bi 0.750 0.746 0.254 1
Ho1 Ho 0.002 0.845 0.675 1
Ho2 Ho 0.500 0.000 0.500 1
Bi2 Bi 0.750 0.085 0.915 1
Ho3 Ho 0.000 0.500 0.000 1
Tl1 Tl 0.250 0.578 0.422 1
Tl2 Tl 0.750 0.422 0.578 1
Ho4 Ho 0.502 0.675 0.845 1
Ho5 Ho 0.498 0.325 0.155 1
Ho6 Ho 0.998 0.155 0.325 1
Bi3 Bi 0.250 0.254 0.746 1
Bi4 Bi 0.250 0.915 0.085 1
# **D(E_F)**: 0.49 states/eV/atom
# **Space group**: C2/c, No. 15
# **Crystal system**: monoclinic
# **ΔH_f (0 K)**: -0.56 eV per atom

(5)
# LiTm3Pb2O | the Alexandria database | PBE | optimized geometry
data_LiTm3Pb2O
_cell_length_a 4.400
_cell_length_b 4.535
_cell_length_c 8.541
_cell_angle_alpha 105.40
_cell_angle_beta 104.93
_cell_angle_gamma 90.00
_symmetry_space_group_name_H-M 'P 1'
_symmetry_Int_Tables_number 1
loop_
_symmetry_equiv_pos_as_xyz
'x,y,z'
loop_
_atom_site_label
_atom_site_type_symbol
_atom_site_fract_x
_atom_site_fract_y
_atom_site_fract_z
_atom_site_occupancy
Pb1 Pb 0.357 0.357 0.714 1
Li1 Li 0.500 0.000 0.000 1
Tm1 Tm 0.158 0.158 0.316 1
Tm2 Tm 0.000 0.500 0.000 1
Pb2 Pb 0.643 0.643 0.286 1
Tm3 Tm 0.842 0.842 0.684 1
O1 O 0.000 0.000 0.000 1
# **D(E_F)**: 0.11 states/eV/atom
# **Uncorrected formation energy**: -27.26 kcal/mol of atoms
# **Space group**: Immm, No. 71
# **Crystal system**: orthorhombic

(6)
# Pr2Ho2Sb2C | the Alexandria database | PBE | optimized geometry
data_Pr2Ho2Sb2C
_cell_length_a 4.781
_cell_length_b 4.781
_cell_length_c 8.899
_cell_angle_alpha 105.58
_cell_angle_beta 105.58
_cell_angle_gamma 90.00
_symmetry_space_group_name_H-M 'P 1'
_symmetry_Int_Tables_number 1
loop_
_symmetry_equiv_pos_as_xyz
'x,y,z'
loop_
_atom_site_label
_atom_site_type_symbol
_atom_site_fract_x
_atom_site_fract_y
_atom_site_fract_z
_atom_site_occupancy
Ho1 Ho 0.000 0.500 0.000 1
Pr1 Pr 0.836 0.836 0.672 1
Sb1 Sb 0.635 0.635 0.271 1
C1 C 0.000 0.000 0.000 1
Ho2 Ho 0.500 0.000 0.000 1
Pr2 Pr 0.164 0.164 0.328 1
Sb2 Sb 0.365 0.365 0.729 1
# **D(E_F)**: 0.88 states/eV/atom
# **Uncorrected formation energy**: -19.62 kcal/mol of atoms
# **Space group**: I4/mmm, No. 139
# **Crystal system**: tetragonal